(1)
A relaxed Ti6FeCo crystal, computed with PBE.

Spin magnetization: 0.505 μB/f.u.
SG: I4/mmm (139)
Polymorph energy (0 for the lowest one): 0.00 eV per formula unit

```
Ti6FeCo
1.0
4.045 0.000 1.218
-0.367 4.028 1.218
-0.011 -0.013 7.361
Ti Fe Co
6 1 1
Direct
0.749 0.749 0.502
0.610 0.110 0.781
0.110 0.610 0.781
0.390 0.890 0.219
0.251 0.251 0.498
0.890 0.390 0.219
0.500 0.500 0.000
0.000 0.000 0.000
```



(2)
A relaxed Mg2CdTe crystal, computed with PBE.

Spin magnetization: 0.000 μB/f.u.
E_form (uncorrected): -0.15 eV/atom
SG: I4/mmm (139)
Polymorph energy (0 for the lowest one): 0.53 eV per formula unit

```
Mg2CdTe
1.0
-0.216 5.314 1.338
-2.482 2.394 -4.265
-1.633 -4.343 2.924
Cd Mg Te
1 2 1
Direct
0.750 0.250 0.500
0.000 0.000 0.000
0.500 0.500 0.000
0.250 0.750 0.500
```



(3)
A relaxed PaMnMo crystal, computed with PBE.

Spin magnetization: 1.565 μB/f.u.
SG: I4mm (107)
Polymorph energy (0 for the lowest one): 0.51 eV per formula unit

```
PaMnMo
1.0
3.523 0.000 0.000
0.000 3.523 0.000
-1.762 -1.762 4.234
Mo Pa Mn
1 1 1
Direct
0.980 0.980 0.960
0.680 0.680 0.359
0.340 0.340 0.681
```



(4)
A relaxed ScAgS crystal, computed with PBE.

Spin magnetization: 0.000 μB/f.u.
E_form (uncorrected): -0.88 eV/atom
SG: R-3m (166)

```
ScAgS
1.0
-1.346 3.467 -2.361
1.349 0.486 -4.165
-5.889 -2.579 -4.538
S Ag Sc
2 2 2
Direct
0.287 0.287 0.140
0.713 0.713 0.860
0.150 0.150 0.550
0.850 0.850 0.450
0.404 0.404 0.788
0.596 0.596 0.212
```